Entry 1:
## RbV3Ge (PBE-GGA)

Data for a relaxed RbV3Ge crystal.

Geometry as extended XYZ:
```
5
Lattice="4.494 0.000 0.000 0.000 4.494 0.000 0.000 0.000 4.494" Properties=species:S:1:pos:R:3 pbc="T T T"
Rb 0.000 0.000 0.000
V 0.000 0.000 2.247
V 0.000 2.247 0.000
V 2.247 0.000 0.000
Ge 2.247 2.247 2.247
```

Results
- E above lowest polymorph (meV/atom) = 1441
- M_tot (μB per formula unit) = 0.0
- formation enthalpy at 0 K (eV/atom) = 2.569

---

Entry 2:
## RbVGe2 (PBE-GGA)

Data for a relaxed RbVGe2 crystal.

Geometry as extended XYZ:
```
4
Lattice="2.170 1.253 8.064 -2.170 1.253 8.064 0.000 -2.506 8.064" Properties=species:S:1:pos:R:3 pbc="T T T"
Rb 0.000 0.000 0.000
V 0.000 0.000 12.095
Ge 0.000 0.000 3.344
Ge 0.000 0.000 20.847
```

Results
- E above lowest polymorph (meV/atom) = 73
- M_tot (μB per formula unit) = 2.9
- formation enthalpy at 0 K (eV/atom) = 0.361

---

Entry 3:
## RbVGe3 (PBE-GGA)

Data for a relaxed RbVGe3 crystal.

Geometry as extended XYZ:
```
5
Lattice="5.462 0.000 0.000 0.000 5.462 0.000 0.000 0.000 5.462" Properties=species:S:1:pos:R:3 pbc="T T T"
Rb 0.000 0.000 0.000
V 2.731 2.731 2.731
Ge 0.000 0.000 2.731
Ge 0.000 2.731 0.000
Ge 2.731 0.000 0.000
```

Results
- E above lowest polymorph (meV/atom) = 2088
- M_tot (μB per formula unit) = 3.5
- formation enthalpy at 0 K (eV/atom) = 2.086

---

Entry 4:
## Rb2YVGe (PBE-GGA)

Data for a relaxed Rb2YVGe crystal.

Geometry as extended XYZ:
```
5
Lattice="6.650 0.000 0.000 0.000 6.650 0.000 0.000 0.000 4.922" Properties=species:S:1:pos:R:3 pbc="T T T"
Rb 0.000 3.325 0.000
Rb 3.325 0.000 0.000
Y 0.000 0.000 2.461
V 3.325 3.325 2.461
Ge 3.325 3.325 0.000
```

Results
- M_tot (μB per formula unit) = 4.2
- formation enthalpy at 0 K (eV/atom) = 0.968

---

no.,density (Mg/m³)
1,5.7
2,3.6
3,3.6
4,2.9